1.
Density functional theory data (GGA-PBE) for Ho5CoSb2 after structural relaxation.

Cell lengths 7.864, 8.717, 12.164 Å; angles 90.00, 90.00, 90.00 degrees
Atoms (fractional coordinates):
Sb 0.570 0.508 0.827
Ho 0.344 0.750 0.703
Ho 0.452 0.750 0.998
Ho 0.677 0.537 0.565
Ho 0.048 0.750 0.498
Ho 0.823 0.537 0.065
Co 0.569 0.250 0.510
Ho 0.823 0.963 0.065
Ho 0.677 0.963 0.565
Ho 0.844 0.250 0.797
Ho 0.323 0.463 0.435
Ho 0.378 0.250 0.692
Sb 0.930 0.992 0.327
Ho 0.952 0.250 0.502
Ho 0.548 0.250 0.002
Ho 0.656 0.250 0.297
Ho 0.122 0.250 0.192
Sb 0.430 0.492 0.173
Ho 0.323 0.037 0.435
Sb 0.070 0.492 0.673
Ho 0.177 0.463 0.935
Sb 0.570 0.992 0.827
Ho 0.156 0.750 0.203
Co 0.069 0.750 0.990
Ho 0.878 0.750 0.808
Co 0.431 0.750 0.490
Sb 0.930 0.508 0.327
Co 0.931 0.250 0.010
Sb 0.430 0.008 0.173
Sb 0.070 0.008 0.673
Ho 0.177 0.037 0.935
Ho 0.622 0.750 0.308

Summary:
Mass density, g/cm³: 9.0
Formation energy without anion corrections, kJ/mol of atoms: -68.23

---

2.
Density functional theory data (GGA-PBE) for Ho4Co2Sb after structural relaxation.

Cell lengths 6.845, 6.695, 8.383 Å; angles 106.87, 108.75, 103.94 degrees
Atoms (fractional coordinates):
Co 0.804 0.853 0.401
Ho 0.020 0.240 0.418
Co 0.480 0.363 0.604
Co 0.643 0.185 0.091
Ho 0.297 0.196 0.827
Sb 0.189 0.795 0.476
Co 0.128 0.502 0.913
Ho 0.710 0.112 0.661
Ho 0.391 0.971 0.216
Sb 0.969 0.089 0.022
Ho 0.440 0.506 0.279
Ho 0.880 0.657 0.684
Ho 0.449 0.727 0.831
Ho 0.850 0.556 0.077

Summary:
Mass density, g/cm³: 9.2
Formation energy without anion corrections, kJ/mol of atoms: -34.59

---

3.
Density functional theory data (GGA-PBE) for Ho5Co2Sb after structural relaxation.

Cell lengths 7.590, 7.590, 8.518 Å; angles 116.46, 116.46, 90.00 degrees
Atoms (fractional coordinates):
Ho 0.525 0.709 0.734
Ho 0.000 0.000 0.000
Ho 0.975 0.475 0.266
Ho 0.791 0.975 0.266
Sb 0.250 0.250 0.500
Ho 0.291 0.791 0.266
Co 0.635 0.135 0.000
Ho 0.500 0.500 0.000
Ho 0.209 0.025 0.734
Sb 0.750 0.750 0.500
Ho 0.475 0.291 0.266
Co 0.865 0.635 0.000
Co 0.365 0.865 0.000
Co 0.135 0.365 0.000
Ho 0.709 0.209 0.734
Ho 0.025 0.525 0.734

Summary:
Mass density, g/cm³: 9.3
Formation energy without anion corrections, kJ/mol of atoms: -42.16

---

4.
Density functional theory data (GGA-PBE) for Ho5CoSb2 after structural relaxation.

Cell lengths 5.752, 5.472, 15.708 Å; angles 90.00, 90.00, 121.71 degrees
Atoms (fractional coordinates):
Ho 0.601 0.202 0.863
Ho 0.601 0.202 0.637
Sb 0.722 0.445 0.058
Ho 0.066 0.133 0.101
Sb 0.278 0.555 0.942
Co 0.831 0.662 0.750
Ho 0.066 0.133 0.399
Ho 0.934 0.867 0.601
Ho 0.934 0.867 0.899
Sb 0.278 0.555 0.558
Co 0.169 0.338 0.250
Ho 0.256 0.512 0.750
Sb 0.722 0.445 0.442
Ho 0.399 0.798 0.363
Ho 0.399 0.798 0.137
Ho 0.744 0.488 0.250

Summary:
Mass density, g/cm³: 8.9
Formation energy without anion corrections, kJ/mol of atoms: -34.60

---

5.
Density functional theory data (GGA-PBE) for Ho6ScCo2 after structural relaxation.

Cell lengths 8.381, 8.381, 8.381 Å; angles 106.94, 112.11, 109.40 degrees
Atoms (fractional coordinates):
Ho 0.795 0.550 0.756
Ho 0.316 0.680 0.996
Ho 0.205 0.961 0.756
Ho 0.205 0.450 0.244
Co 0.500 0.114 0.614
Ho 0.316 0.320 0.636
Co 0.500 0.886 0.386
Ho 0.684 0.680 0.364
Ho 0.899 0.184 0.715
Ho 0.795 0.039 0.244
Ho 0.101 0.816 0.285
Co 0.292 0.292 0.000
Ho 0.531 0.816 0.715
Co 0.708 0.708 0.000
Sc 0.000 0.000 0.000
Ho 0.684 0.320 0.004
Ho 0.469 0.184 0.285
Sc 0.000 0.500 0.500

Summary:
Mass density, g/cm³: 8.5
Formation energy from the elements, kJ per mole of atoms: -10

---

6.
Density functional theory data (GGA-PBE) for HoSc5Co2 after structural relaxation.

Cell lengths 3.485, 6.143, 16.688 Å; angles 90.00, 90.00, 106.48 degrees
Atoms (fractional coordinates):
Sc 0.380 0.759 0.750
Sc 0.067 0.133 0.399
Sc 0.620 0.241 0.250
Ho 0.352 0.705 0.250
Sc 0.343 0.686 0.453
Co 0.268 0.536 0.624
Sc 0.933 0.867 0.601
Sc 0.657 0.314 0.547
Co 0.732 0.464 0.376
Sc 0.343 0.686 0.047
Co 0.732 0.464 0.124
Sc 0.067 0.133 0.101
Sc 0.933 0.867 0.899
Sc 0.657 0.314 0.953
Ho 0.648 0.295 0.750
Co 0.268 0.536 0.876

Summary:
Mass density, g/cm³: 4.9
Formation energy from the elements, kJ per mole of atoms: -11

---

7.
Density functional theory data (GGA-PBE) for HoScCo10 after structural relaxation.

Cell lengths 3.963, 4.832, 8.389 Å; angles 90.00, 90.00, 90.00 degrees
Site moments in Bohr magnetons follow the coordinates.
Atoms (fractional coordinates):
Co 0.500 0.000 0.500  1.60
Co 0.500 0.500 0.000  1.54
Co 0.000 0.500 0.819  1.47
Co 0.000 0.500 0.181  1.47
Co 0.500 0.251 0.253  1.57
Sc 0.000 0.500 0.500  -0.33
Co 0.000 0.000 0.658  1.53
Co 0.500 0.749 0.253  1.57
Co 0.500 0.251 0.747  1.57
Co 0.000 0.000 0.342  1.53
Ho 0.000 0.000 0.000  -0.37
Co 0.500 0.749 0.747  1.57

Summary:
Mass density, g/cm³: 8.3
Formation energy from the elements, kJ per mole of atoms: -11

---

8.
Density functional theory data (GGA-PBE) for HoSc4Co5 after structural relaxation.

Cell lengths 3.160, 3.160, 15.825 Å; angles 90.00, 90.00, 90.00 degrees
Site moments in Bohr magnetons follow the coordinates.
Atoms (fractional coordinates):
Ho 0.000 0.000 0.000  -0.13
Sc 0.000 0.000 0.402  -0.13
Co 0.500 0.500 0.889  0.39
Co 0.500 0.500 0.500  0.45
Co 0.500 0.500 0.305  0.44
Co 0.500 0.500 0.111  0.39
Sc 0.000 0.000 0.794  -0.12
Sc 0.000 0.000 0.598  -0.13
Co 0.500 0.500 0.695  0.44
Sc 0.000 0.000 0.206  -0.12

Summary:
Mass density, g/cm³: 6.7
Formation energy from the elements, kJ per mole of atoms: -29

---

Q: Look up the mass density of the second one.
A: 9.2 g/cm³

---

Q: The lowest mass density belongs to which entry?
A: HoSc5Co2

---

What did the second record say?
Density functional theory data (GGA-PBE) for Ho4Co2Sb after structural relaxation.

Cell lengths 6.845, 6.695, 8.383 Å; angles 106.87, 108.75, 103.94 degrees
Atoms (fractional coordinates):
Co 0.804 0.853 0.401
Ho 0.020 0.240 0.418
Co 0.480 0.363 0.604
Co 0.643 0.185 0.091
Ho 0.297 0.196 0.827
Sb 0.189 0.795 0.476
Co 0.128 0.502 0.913
Ho 0.710 0.112 0.661
Ho 0.391 0.971 0.216
Sb 0.969 0.089 0.022
Ho 0.440 0.506 0.279
Ho 0.880 0.657 0.684
Ho 0.449 0.727 0.831
Ho 0.850 0.556 0.077

Summary:
Mass density, g/cm³: 9.2
Formation energy without anion corrections, kJ/mol of atoms: -34.59